No. 1
The following is a PBE calculation of a relaxed structure of Pm4Br5N, from OQMD.

Computed properties:
As for the crystal system: monoclinic. As for the energy: -52.0 eV/cell. The calculation puts the total moment at 0.01 Bohr magnetons per cell. Its space-group type is C2/m (12).

abc: 9.2086 9.2086 8.2893
angles: 103.03 103.03 24.18
Last column: nearest neighbours and their distance in Å.
Fractional positions:
Br  0.8290  0.8290  0.1762  3 Pm 2.98-3.01
Br  0.1640  0.1640  0.3452  3 Pm 2.93-2.94
Br  0.8360  0.8360  0.6548  3 Pm 2.93-2.94
Br  0.1710  0.1710  0.8238  3 Pm 2.98-3.01
Br  0.5000  0.5000  0.5000  4 Pm 3.13
N  0.5000  0.5000  0.0000  6 Pm 2.42-2.56
Pm  0.6383  0.6383  0.0720  1 N 2.42
Pm  0.9986  0.9986  0.2016  2 N 2.56
Pm  0.3617  0.3617  0.9280  1 N 2.42
Pm  0.0014  0.0014  0.7984  2 N 2.56

---

No. 2
The following is a PBE calculation of a relaxed structure of Pr2BrN, from OQMD.

Computed properties:
As for the crystal system: trigonal. As for the energy: -50.3 eV/cell. The calculation puts the total moment at 0.00 Bohr magnetons per cell. Its space-group type is P3m1 (156).

abc: 3.7487 3.7487 14.7666
angles: 90.00 90.00 120.00
Last column: nearest neighbours and their distance in Å.
Fractional positions:
Br  0.0000  0.0000  0.2499  6 Pr 3.20
Br  0.3333  0.6667  0.7503  6 Pr 3.19-3.20
N  0.6667  0.3333  0.5004  6 Pr 2.54-2.55
N  0.6667  0.3333  0.9994  6 Pr 2.54-2.55
Pr  0.3333  0.6667  0.0903  3 N 2.55
Pr  0.3333  0.6667  0.4095  3 N 2.55
Pr  0.0000  0.0000  0.9092  3 N 2.54
Pr  0.0000  0.0000  0.5910  3 N 2.54